Below is crystalline CsCaH at its relaxed geometry, with properties calculated at the PBE level.

Cell lengths 3.7858, 4.3769, 7.4538 Å; angles 81.52, 75.68, 64.57 degrees
Closest atoms and distances in Å follow each position.
Positions (direct):
Cs 0.0000 0.0000 0.0000  3 H 3.05-3.14
Ca 0.4426 0.5696 0.5319  2 H 2.40
H 0.8196 0.6200 0.7324  2 Ca 2.40

The value obtained for the energy above the most stable polymorph in this dataset is 0.15 kcal/mol of atoms. The space group is No. 1. Its calculated total energy is -6.2 eV/cell. As for the density of states at the Fermi level: 0.3932 states/eV/atom.